[1]
# OsPdPt2

A crystal of OsPdPt2 relaxed with PBEsol (meta-GGA SCAN, Alexandria).

The volume is 59.43 Å³/f.u. As for the crystal system: cubic. For the formation energy, the calculation gives 1.38 eV/f.u. The density of states at the Fermi level comes out at 15.26 states/eV/cell. The uncorrected energy comes out at -974.639 eV for the cell shown.

The structure belongs to space group Fm-3m (No. 225); the cell edges are 6.1947, 6.1947 and 6.1947 Å and the angles 90.00°, 90.00° and 90.00°. Symmetry generates all atoms from Os at (0.0000, 0.0000, 0.0000), Pd at (0.0000, 0.0000, 0.5000) and Pt at (0.2500, 0.2500, 0.2500).

[2]
# CaSeBr2

A crystal of CaSeBr2 relaxed with PBEsol (meta-GGA SCAN, Alexandria).

The volume is 97.63 Å³/f.u. As for the crystal system: orthorhombic. The density of states at the Fermi level comes out at 0.60 states/eV/cell. The uncorrected energy comes out at -72.973 eV for the cell shown.

The structure belongs to space group Pmmm (No. 47); the cell edges are 3.8960, 4.3668 and 5.7384 Å and the angles 90.00°, 90.00° and 90.00°. Symmetry generates all atoms from Ca at (0.0000, 0.0000, 0.0000), Se at (0.5000, 0.0000, 0.5000), Br at (0.0000, 0.5000, 0.5000) and Br at (0.5000, 0.5000, 0.0000).

[3]
# AlBi

A crystal of AlBi relaxed with PBEsol (meta-GGA SCAN, Alexandria).

The volume is 64.63 Å³/f.u. As for the crystal system: cubic. For the formation energy, the calculation gives 0.12 eV/f.u. The density of states at the Fermi level comes out at 0.29 states/eV/cell. The uncorrected energy comes out at -344.846 eV for the cell shown.

The structure belongs to space group F-43m (No. 216); the cell edges are 6.3703, 6.3703 and 6.3703 Å and the angles 90.00°, 90.00° and 90.00°. Symmetry generates all atoms from Al at (0.0000, 0.0000, 0.0000) and Bi at (0.2500, 0.2500, 0.2500).